(1)
# PBE Zr2TiHRh, relaxed
# energy relative to the lowest polymorph listed for this composition: 61 meV per atom
data_Zr2TiHRh
_cell_length_a 4.638
_cell_length_b 4.638
_cell_length_c 3.649
_cell_angle_alpha 90.00
_cell_angle_beta 90.00
_cell_angle_gamma 90.00
_symmetry_space_group_name_H-M 'P 4/m m m'
_symmetry_Int_Tables_number 123
_symmetry_space_group_name_Hall '-P 4 2'
loop_
_atom_site_label
_atom_site_type_symbol
_atom_site_fract_x
_atom_site_fract_y
_atom_site_fract_z
Zr1 Zr 0.000 0.500 0.000
Ti1 Ti 0.000 0.000 0.500
H1 H 0.500 0.500 0.000
Rh1 Rh 0.500 0.500 0.500

(2)
# PBE Ba2ZnTePt, relaxed
# E_form (uncorrected): -0.9332 eV/atom
data_Ba2ZnTePt
_cell_length_a 6.068
_cell_length_b 6.068
_cell_length_c 4.896
_cell_angle_alpha 90.00
_cell_angle_beta 90.00
_cell_angle_gamma 90.00
_symmetry_space_group_name_H-M 'P 4/m m m'
_symmetry_Int_Tables_number 123
_symmetry_space_group_name_Hall '-P 4 2'
loop_
_atom_site_label
_atom_site_type_symbol
_atom_site_fract_x
_atom_site_fract_y
_atom_site_fract_z
Ba1 Ba 0.000 0.500 0.000
Zn1 Zn 0.000 0.000 0.500
Te1 Te 0.500 0.500 0.500
Pt1 Pt 0.000 0.000 0.000

(3)
# PBE GaAgCl2, relaxed
# energy relative to the lowest polymorph listed for this composition: 0 meV per atom
# E_form (uncorrected): -0.5325 eV/atom
data_GaAgCl2
_cell_length_a 6.437
_cell_length_b 6.437
_cell_length_c 12.384
_cell_angle_alpha 90.00
_cell_angle_beta 90.00
_cell_angle_gamma 90.00
_symmetry_space_group_name_H-M 'I -4 2 d'
_symmetry_Int_Tables_number 122
_symmetry_space_group_name_Hall 'I -4 2bw'
loop_
_atom_site_label
_atom_site_type_symbol
_atom_site_fract_x
_atom_site_fract_y
_atom_site_fract_z
Ga1 Ga 0.000 0.000 0.000
Ag1 Ag 0.000 0.000 0.500
Cl1 Cl 0.213 0.250 0.625

(4)
# PBE Tm3Nb5H12, relaxed
# uncorrected energy: -5.5209 eV/atom
data_Tm3Nb5H12
_cell_length_a 11.775
_cell_length_b 11.775
_cell_length_c 11.775
_cell_angle_alpha 90.00
_cell_angle_beta 90.00
_cell_angle_gamma 90.00
_symmetry_space_group_name_H-M 'I a -3 d'
_symmetry_Int_Tables_number 230
_symmetry_space_group_name_Hall '-I 4bd 2c 3'
loop_
_atom_site_label
_atom_site_type_symbol
_atom_site_fract_x
_atom_site_fract_y
_atom_site_fract_z
Tm1 Tm 0.000 0.250 0.125
Nb1 Nb 0.000 0.000 0.000
Nb2 Nb 0.000 0.250 0.375
H1 H 0.014 0.066 0.649

(5)
# PBE Dy2Ho4MgSc, relaxed
# formation energy: 0.03 eV per atom
data_Dy2Ho4MgSc
_cell_length_a 4.916
_cell_length_b 4.916
_cell_length_c 9.717
_cell_angle_alpha 90.00
_cell_angle_beta 90.00
_cell_angle_gamma 90.00
_symmetry_space_group_name_H-M 'P 4/m m m'
_symmetry_Int_Tables_number 123
_symmetry_space_group_name_Hall '-P 4 2'
loop_
_atom_site_label
_atom_site_type_symbol
_atom_site_fract_x
_atom_site_fract_y
_atom_site_fract_z
Dy1 Dy 0.000 0.000 0.000
Dy2 Dy 0.500 0.500 0.500
Ho1 Ho 0.000 0.500 0.246
Mg1 Mg 0.000 0.000 0.500
Sc1 Sc 0.500 0.500 0.000

(6)
# PBE La3Sc, relaxed
# formation energy: 0.92 eV per atom
data_La3Sc
_cell_length_a 5.866
_cell_length_b 5.866
_cell_length_c 5.866
_cell_angle_alpha 90.00
_cell_angle_beta 90.00
_cell_angle_gamma 90.00
_symmetry_space_group_name_H-M 'P m -3 m'
_symmetry_Int_Tables_number 221
_symmetry_space_group_name_Hall '-P 4 2 3'
loop_
_atom_site_label
_atom_site_type_symbol
_atom_site_fract_x
_atom_site_fract_y
_atom_site_fract_z
La1 La 0.000 0.000 0.500
Sc1 Sc 0.000 0.000 0.000

(7)
# PBE CaZn8Ga2Pd, relaxed
# formation energy: -0.14 eV per atom
data_CaZn8Ga2Pd
_cell_length_a 7.547
_cell_length_b 4.939
_cell_length_c 11.572
_cell_angle_alpha 90.00
_cell_angle_beta 100.48
_cell_angle_gamma 90.00
_symmetry_space_group_name_H-M 'C 1 2/m 1'
_symmetry_Int_Tables_number 12
loop_
_symmetry_equiv_pos_as_xyz
'x,y,z'
'-x,-y,-z'
'-x,y,-z'
'x,-y,z'
'x+1/2,y+1/2,z'
'-x+1/2,-y+1/2,-z'
'-x+1/2,y+1/2,-z'
'x+1/2,-y+1/2,z'
loop_
_atom_site_label
_atom_site_type_symbol
_atom_site_fract_x
_atom_site_fract_y
_atom_site_fract_z
Ca1 Ca 0.000 0.000 0.000
Zn1 Zn 0.059 0.248 0.313
Zn2 Zn 0.168 0.500 0.542
Zn3 Zn 0.241 0.500 0.169
Ga1 Ga 0.132 0.500 0.867
Pd1 Pd 0.000 0.000 0.500

(8)
# PBE MnSnIrS, relaxed
# energy relative to the lowest polymorph listed for this composition: 143 meV per atom
# E_form (uncorrected): -0.0544 eV/atom
data_MnSnIrS
_cell_length_a 3.0238
_cell_length_b 3.0238
_cell_length_c 23.9264
_cell_angle_alpha 90.00
_cell_angle_beta 90.00
_cell_angle_gamma 120.00
_symmetry_space_group_name_H-M 'R 3 m'
_symmetry_Int_Tables_number 160
_symmetry_space_group_name_Hall 'R 3 -2"'
loop_
_atom_site_label
_atom_site_type_symbol
_atom_site_fract_x
_atom_site_fract_y
_atom_site_fract_z
Mn1 Mn 0.0000 0.0000 0.0000
Sn1 Sn 0.0000 0.0000 0.7583
Ir1 Ir 0.0000 0.0000 0.5139
S1 S 0.0000 0.0000 0.6111

(9)
# PBE Ac2TbPmSm5, relaxed
# formation energy: 0.14 eV per atom
data_Ac2TbPmSm5
_cell_length_a 5.843
_cell_length_b 20.493
_cell_length_c 11.026
_cell_angle_alpha 90.00
_cell_angle_beta 90.00
_cell_angle_gamma 90.00
_symmetry_space_group_name_H-M 'C m c 21'
_symmetry_Int_Tables_number 36
loop_
_symmetry_equiv_pos_as_xyz
'x,y,z'
'-x,-y,z+1/2'
'-x,y,z'
'x,-y,z+1/2'
'x+1/2,y+1/2,z'
'-x+1/2,-y+1/2,z+1/2'
'-x+1/2,y+1/2,z'
'x+1/2,-y+1/2,z+1/2'
loop_
_atom_site_label
_atom_site_type_symbol
_atom_site_fract_x
_atom_site_fract_y
_atom_site_fract_z
Ac1 Ac 0.000 0.111 0.000
Ac2 Ac 0.000 0.119 0.591
Tb1 Tb 0.000 0.412 0.730
Pm1 Pm 0.000 0.208 0.274
Sm1 Sm 0.000 0.021 0.294
Sm2 Sm 0.000 0.285 0.571
Sm3 Sm 0.000 0.297 0.967
Sm4 Sm 0.000 0.397 0.292
Sm5 Sm 0.000 0.479 0.008

(10)
# PBE ZnPbAu, relaxed
# formation energy: -0.04 eV per atom
data_ZnPbAu
_cell_length_a 4.5620
_cell_length_b 4.5620
_cell_length_c 3.7387
_cell_angle_alpha 90.00
_cell_angle_beta 90.00
_cell_angle_gamma 120.00
_symmetry_space_group_name_H-M 'P 3 m 1'
_symmetry_Int_Tables_number 156
loop_
_symmetry_equiv_pos_as_xyz
'x,y,z'
'-y,x-y,z'
'-x+y,-x,z'
'-y,-x,z'
'-x+y,y,z'
'x,x-y,z'
loop_
_atom_site_label
_atom_site_type_symbol
_atom_site_fract_x
_atom_site_fract_y
_atom_site_fract_z
Zn1 Zn 0.0000 0.0000 0.0000
Pb1 Pb 0.3333 0.6667 0.5033
Au1 Au 0.6667 0.3333 0.0072

(11)
# PBE BeAuBr2, relaxed
# energy relative to the lowest polymorph listed for this composition: 465 meV per atom
# E_form (uncorrected): 0.1911 eV/atom
data_BeAuBr2
_cell_length_a 3.030
_cell_length_b 3.030
_cell_length_c 9.834
_cell_angle_alpha 90.00
_cell_angle_beta 90.00
_cell_angle_gamma 90.00
_symmetry_space_group_name_H-M 'P 4 m m'
_symmetry_Int_Tables_number 99
loop_
_symmetry_equiv_pos_as_xyz
'x,y,z'
'-y,x,z'
'-x,-y,z'
'y,-x,z'
'-x,y,z'
'y,x,z'
'x,-y,z'
'-y,-x,z'
loop_
_atom_site_label
_atom_site_type_symbol
_atom_site_fract_x
_atom_site_fract_y
_atom_site_fract_z
Be1 Be 0.000 0.000 0.000
Au1 Au 0.500 0.500 0.848
Br1 Br 0.000 0.000 0.518
Br2 Br 0.500 0.500 0.150

(12)
# PBE Y2Ga6Ir, relaxed
# formation energy: -0.58 eV per atom
data_Y2Ga6Ir
_cell_length_a 10.407
_cell_length_b 5.659
_cell_length_c 5.836
_cell_angle_alpha 90.00
_cell_angle_beta 99.26
_cell_angle_gamma 90.00
_symmetry_space_group_name_H-M 'C 1 2/m 1'
_symmetry_Int_Tables_number 12
loop_
_symmetry_equiv_pos_as_xyz
'x,y,z'
'-x,-y,-z'
'-x,y,-z'
'x,-y,z'
'x+1/2,y+1/2,z'
'-x+1/2,-y+1/2,-z'
'-x+1/2,y+1/2,-z'
'x+1/2,-y+1/2,z'
loop_
_atom_site_label
_atom_site_type_symbol
_atom_site_fract_x
_atom_site_fract_y
_atom_site_fract_z
Y1 Y 0.146 0.000 0.352
Ga1 Ga 0.116 0.239 0.831
Ga2 Ga 0.158 0.500 0.207
Ir1 Ir 0.000 0.500 0.500

(13)
# PBE LiThScMn, relaxed
# formation energy: 0.10 eV per atom
data_LiThScMn
_cell_length_a 6.848
_cell_length_b 6.848
_cell_length_c 6.848
_cell_angle_alpha 90.00
_cell_angle_beta 90.00
_cell_angle_gamma 90.00
_symmetry_space_group_name_H-M 'F -4 3 m'
_symmetry_Int_Tables_number 216
_symmetry_space_group_name_Hall 'F -4 2 3'
loop_
_atom_site_label
_atom_site_type_symbol
_atom_site_fract_x
_atom_site_fract_y
_atom_site_fract_z
Li1 Li 0.000 0.000 0.000
Th1 Th 0.250 0.250 0.250
Sc1 Sc 0.250 0.250 0.750
Mn1 Mn 0.000 0.000 0.500

(14)
# PBE Pm4CdAg5, relaxed
# formation energy: -0.23 eV per atom
data_Pm4CdAg5
_cell_length_a 3.661
_cell_length_b 3.661
_cell_length_c 18.420
_cell_angle_alpha 90.00
_cell_angle_beta 90.00
_cell_angle_gamma 90.00
_symmetry_space_group_name_H-M 'P 4/m m m'
_symmetry_Int_Tables_number 123
_symmetry_space_group_name_Hall '-P 4 2'
loop_
_atom_site_label
_atom_site_type_symbol
_atom_site_fract_x
_atom_site_fract_y
_atom_site_fract_z
Pm1 Pm 0.000 0.000 0.104
Pm2 Pm 0.000 0.000 0.313
Cd1 Cd 0.000 0.000 0.500
Ag1 Ag 0.500 0.500 0.000
Ag2 Ag 0.500 0.500 0.208
Ag3 Ag 0.500 0.500 0.415

(15)
# PBE PmPaP, relaxed
# energy relative to the lowest polymorph listed for this composition: 225 meV per atom
# formation energy: -0.37 eV per atom
data_PmPaP
_cell_length_a 6.752
_cell_length_b 6.752
_cell_length_c 6.752
_cell_angle_alpha 90.00
_cell_angle_beta 90.00
_cell_angle_gamma 90.00
_symmetry_space_group_name_H-M 'F -4 3 m'
_symmetry_Int_Tables_number 216
_symmetry_space_group_name_Hall 'F -4 2 3'
loop_
_atom_site_label
_atom_site_type_symbol
_atom_site_fract_x
_atom_site_fract_y
_atom_site_fract_z
Pm1 Pm 0.000 0.000 0.000
Pa1 Pa 0.000 0.000 0.500
P1 P 0.250 0.250 0.250

(16)
# PBE MgTa2VOs, relaxed
# formation energy: 2.06 eV per atom
data_MgTa2VOs
_cell_length_a 4.692
_cell_length_b 4.692
_cell_length_c 4.178
_cell_angle_alpha 90.00
_cell_angle_beta 90.00
_cell_angle_gamma 90.00
_symmetry_space_group_name_H-M 'P 4/m m m'
_symmetry_Int_Tables_number 123
_symmetry_space_group_name_Hall '-P 4 2'
loop_
_atom_site_label
_atom_site_type_symbol
_atom_site_fract_x
_atom_site_fract_y
_atom_site_fract_z
Mg1 Mg 0.000 0.000 0.000
Ta1 Ta 0.000 0.500 0.000
V1 V 0.000 0.000 0.500
Os1 Os 0.500 0.500 0.500

(17)
# PBE PuMgCd11, relaxed
# formation energy: -0.04 eV per atom
data_PuMgCd11
_cell_length_a 5.939
_cell_length_b 14.145
_cell_length_c 7.692
_cell_angle_alpha 90.00
_cell_angle_beta 112.66
_cell_angle_gamma 90.00
_symmetry_space_group_name_H-M 'C 1 2/m 1'
_symmetry_Int_Tables_number 12
loop_
_symmetry_equiv_pos_as_xyz
'x,y,z'
'-x,-y,-z'
'-x,y,-z'
'x,-y,z'
'x+1/2,y+1/2,z'
'-x+1/2,-y+1/2,-z'
'-x+1/2,y+1/2,-z'
'x+1/2,-y+1/2,z'
loop_
_atom_site_label
_atom_site_type_symbol
_atom_site_fract_x
_atom_site_fract_y
_atom_site_fract_z
Pu1 Pu 0.000 0.000 0.000
Mg1 Mg 0.000 0.000 0.500
Cd1 Cd 0.000 0.500 0.500
Cd2 Cd 0.112 0.394 0.213
Cd3 Cd 0.173 0.174 0.352
Cd4 Cd 0.250 0.250 0.000

(18)
# PBE Sb3Rh, relaxed
# energy relative to the lowest polymorph listed for this composition: 431 meV per atom
# E_form (uncorrected): 0.0271 eV/atom
data_Sb3Rh
_cell_length_a 8.1916
_cell_length_b 8.1916
_cell_length_c 6.7905
_cell_angle_alpha 90.00
_cell_angle_beta 90.00
_cell_angle_gamma 120.00
_symmetry_space_group_name_H-M 'P 63/m m c'
_symmetry_Int_Tables_number 194
_symmetry_space_group_name_Hall '-P 6c 2c'
loop_
_atom_site_label
_atom_site_type_symbol
_atom_site_fract_x
_atom_site_fract_y
_atom_site_fract_z
Sb1 Sb 0.0000 0.5000 0.0000
Sb2 Sb 0.1461 0.2922 0.2500
Rh1 Rh 0.0000 0.0000 0.0000
Rh2 Rh 0.3333 0.6667 0.7500

(19)
# PBE PaTlPO5, relaxed
# E_form (uncorrected): -2.4581 eV/atom
data_PaTlPO5
_cell_length_a 7.527
_cell_length_b 9.883
_cell_length_c 8.182
_cell_angle_alpha 90.00
_cell_angle_beta 117.18
_cell_angle_gamma 90.00
_symmetry_space_group_name_H-M 'C 1 2/c 1'
_symmetry_Int_Tables_number 15
loop_
_symmetry_equiv_pos_as_xyz
'x,y,z'
'-x,-y,-z'
'-x,y,-z+1/2'
'x,-y,z+1/2'
'x+1/2,y+1/2,z'
'-x+1/2,-y+1/2,-z'
'-x+1/2,y+1/2,-z+1/2'
'x+1/2,-y+1/2,z+1/2'
loop_
_atom_site_label
_atom_site_type_symbol
_atom_site_fract_x
_atom_site_fract_y
_atom_site_fract_z
Pa1 Pa 0.250 0.250 0.000
Tl1 Tl 0.000 0.080 0.250
P1 P 0.000 0.439 0.250
O1 O 0.000 0.185 0.750
O2 O 0.052 0.346 0.124
O3 O 0.183 0.469 0.868

(20)
# PBE Tb3SmAl3, relaxed
# formation energy: -0.26 eV per atom
data_Tb3SmAl3
_cell_length_a 10.268
_cell_length_b 10.395
_cell_length_c 6.959
_cell_angle_alpha 90.00
_cell_angle_beta 90.00
_cell_angle_gamma 90.00
_symmetry_space_group_name_H-M 'C m m m'
_symmetry_Int_Tables_number 65
_symmetry_space_group_name_Hall '-C 2 2'
loop_
_atom_site_label
_atom_site_type_symbol
_atom_site_fract_x
_atom_site_fract_y
_atom_site_fract_z
Tb1 Tb 0.000 0.244 0.000
Tb2 Tb 0.000 0.249 0.500
Tb3 Tb 0.239 0.000 0.000
Sm1 Sm 0.243 0.000 0.500
Al1 Al 0.000 0.500 0.238
Al2 Al 0.250 0.250 0.244